(1)
{"formula": "Ca2SnCl2", "functional": "PBE", "state": "optimized geometry", "sg": "I4/mmm, No. 139", "total_energy_ev_per_atom": -3.714, "lattice_angstrom": [[-2.2303, 2.2303, 7.2721], [2.2303, -2.2303, 7.2721], [2.2303, 2.2303, -7.2721]], "species": ["Ca", "Ca", "Sn", "Cl", "Cl"], "frac_coords": [[0.1343, 0.1343, 0.0000], [0.8657, 0.8657, 0.0000], [0.5000, 0.5000, 0.0000], [0.2500, 0.7500, 0.5000], [0.7500, 0.2500, 0.5000]]}



(2)
{"formula": "CaSnCl4", "functional": "PBE", "state": "optimized geometry", "sg": "P2/m, No. 10", "total_energy_ev_per_atom": -3.916, "lattice_angstrom": [[6.6866, 0.0000, 0.0000], [0.0000, 4.2160, 0.0000], [-2.6540, 0.0000, 6.8551]], "species": ["Ca", "Sn", "Cl", "Cl", "Cl", "Cl"], "frac_coords": [[0.0000, 0.0000, 0.0000], [0.0000, 0.5000, 0.5000], [0.2249, 0.5000, 0.2316], [0.2321, 0.0000, 0.7553], [0.7679, 0.0000, 0.2447], [0.7751, 0.5000, 0.7684]]}



(3)
{"formula": "Ca4Sn2Cl", "functional": "PBE", "state": "optimized geometry", "sg": "I4/mmm, No. 139", "total_energy_ev_per_atom": -3.381, "lattice_angstrom": [[-2.6012, 2.6012, 8.2306], [2.6012, -2.6012, 8.2306], [2.6012, 2.6012, -8.2306]], "species": ["Ca", "Ca", "Ca", "Ca", "Sn", "Sn", "Cl"], "frac_coords": [[0.0000, 0.5000, 0.5000], [0.1824, 0.1824, 0.0000], [0.5000, 0.0000, 0.5000], [0.8176, 0.8176, 0.0000], [0.3741, 0.3741, 0.0000], [0.6259, 0.6259, 0.0000], [0.0000, 0.0000, 0.0000]]}



(4)
{"formula": "CaSn5Cl12", "functional": "PBE", "state": "optimized geometry", "sg": "C2/m, No. 12", "total_energy_ev_per_atom": -3.662, "lattice_angstrom": [[3.6901, -6.4203, 0.0000], [3.6901, 6.4203, 0.0000], [-0.0102, 0.0000, 12.9724]], "species": ["Ca", "Sn", "Sn", "Sn", "Sn", "Sn", "Cl", "Cl", "Cl", "Cl", "Cl", "Cl", "Cl", "Cl", "Cl", "Cl", "Cl", "Cl"], "frac_coords": [[0.0000, 0.0000, 0.0000], [0.1666, 0.8334, 0.5000], [0.3333, 0.6667, 0.0000], [0.5000, 0.5000, 0.5000], [0.6667, 0.3333, 0.0000], [0.8334, 0.1666, 0.5000], [0.9996, 0.3216, 0.1102], [0.0004, 0.6784, 0.8898], [0.1660, 0.1660, 0.3844], [0.1674, 0.5009, 0.6157], [0.3216, 0.9996, 0.1102], [0.3224, 0.3224, 0.8898], [0.4991, 0.8326, 0.3843], [0.5009, 0.1674, 0.6157], [0.6784, 0.0004, 0.8898], [0.6776, 0.6776, 0.1102], [0.8326, 0.4991, 0.3843], [0.8340, 0.8340, 0.6156]]}



(5)
{"formula": "CaSnCl2", "functional": "PBE", "state": "optimized geometry", "sg": "R-3m, No. 166", "total_energy_ev_per_atom": -3.257, "e_above_lowest_polymorph_mev_per_atom": 611.2, "lattice_angstrom": [[1.8879, 1.0900, 9.9908], [-1.8879, 1.0900, 9.9908], [0.0000, -2.1799, 9.9908]], "species": ["Ca", "Sn", "Cl", "Cl"], "frac_coords": [[0.0000, 0.0000, 0.0000], [0.5000, 0.5000, 0.5000], [0.0855, 0.0855, 0.0855], [0.9145, 0.9145, 0.9145]]}



(6)
{"formula": "CaSnCl", "functional": "PBE", "state": "optimized geometry", "sg": "P-1, No. 2", "total_energy_ev_per_atom": -3.876, "lattice_angstrom": [[3.5401, 0.0000, 0.0000], [0.0117, 3.5621, 0.0000], [1.7669, 1.7749, 13.2984]], "species": ["Ca", "Ca", "Sn", "Sn", "Cl", "Cl"], "frac_coords": [[0.1367, 0.1364, 0.2252], [0.8633, 0.8636, 0.7748], [0.4470, 0.4476, 0.6065], [0.5530, 0.5524, 0.3935], [0.3114, 0.3116, 0.8791], [0.6886, 0.6884, 0.1209]]}



(7)
{"formula": "CaSn3Cl", "functional": "PBE", "state": "optimized geometry", "sg": "Pm-3m, No. 221", "total_energy_ev_per_atom": -3.151, "e_above_lowest_polymorph_mev_per_atom": 0.0, "lattice_angstrom": [[5.4305, 0.0000, 0.0000], [0.0000, 5.4305, 0.0000], [0.0000, 0.0000, 5.4305]], "species": ["Ca", "Sn", "Sn", "Sn", "Cl"], "frac_coords": [[0.0000, 0.0000, 0.0000], [0.0000, 0.5000, 0.5000], [0.5000, 0.0000, 0.5000], [0.5000, 0.5000, 0.0000], [0.5000, 0.5000, 0.5000]]}



(8)
{"formula": "CaSnCl6", "functional": "PBE", "state": "optimized geometry", "sg": "R-3, No. 148", "total_energy_ev_per_atom": -3.562, "e_above_lowest_polymorph_mev_per_atom": 6.6, "lattice_angstrom": [[3.2810, 1.8943, 5.9733], [-3.2810, 1.8943, 5.9733], [0.0000, -3.7886, 5.9733]], "species": ["Ca", "Sn", "Cl", "Cl", "Cl", "Cl", "Cl", "Cl"], "frac_coords": [[0.0000, 0.0000, 0.0000], [0.5000, 0.5000, 0.5000], [0.1068, 0.4294, 0.7263], [0.2737, 0.8932, 0.5706], [0.4294, 0.7263, 0.1068], [0.5706, 0.2737, 0.8932], [0.7263, 0.1068, 0.4294], [0.8932, 0.5706, 0.2737]]}



For each record above, in turn, the calculated magnetic moment values are 0.77 0.00 0.00 0.00 0.00 0.00 0.00 0.00 μB/f.u..